Version A
Here is crystalline CrHg2Mo at its relaxed geometry from Alexandria. Energies are from PBEsol.

Structure (CIF):
```
data_CrHg2Mo
_chemical_formula_sum 'Cr4 Hg8 Mo4'
_cell_length_a 6.529
_cell_length_b 6.529
_cell_length_c 6.529
_cell_angle_alpha 90.00
_cell_angle_beta 90.00
_cell_angle_gamma 90.00
_symmetry_space_group_name_H-M 'F m -3 m'
_symmetry_Int_Tables_number 225
_symmetry_space_group_name_Hall '-F 4 2 3'
loop_
_atom_site_label
_atom_site_type_symbol
_atom_site_fract_x
_atom_site_fract_y
_atom_site_fract_z
Cr1 Cr 0.000 0.000 0.000
Hg1 Hg 0.250 0.250 0.250
Mo1 Mo 0.000 0.000 0.500
```

Version B
Here is crystalline CrHg2Mo at its relaxed geometry from Alexandria. Energies are from PBEsol.

Structure (CIF):
```
data_CrHg2Mo
_chemical_formula_sum 'Cr2 Hg4 Mo2'
_cell_length_a 9.493
_cell_length_b 2.911
_cell_length_c 5.091
_cell_angle_alpha 90.00
_cell_angle_beta 100.25
_cell_angle_gamma 90.00
_symmetry_space_group_name_H-M 'C 1 2/m 1'
_symmetry_Int_Tables_number 12
loop_
_symmetry_equiv_pos_as_xyz
'x,y,z'
'-x,-y,-z'
'-x,y,-z'
'x,-y,z'
'x+1/2,y+1/2,z'
'-x+1/2,-y+1/2,-z'
'-x+1/2,y+1/2,-z'
'x+1/2,-y+1/2,z'
loop_
_atom_site_label
_atom_site_type_symbol
_atom_site_fract_x
_atom_site_fract_y
_atom_site_fract_z
Cr1 Cr 0.000 0.000 0.000
Hg1 Hg 0.247 0.500 0.248
Mo1 Mo 0.000 0.500 0.500
```

Most stable: version B. Least stable: version A.

Version A
Here is crystalline CrHg2Pt at its relaxed geometry from Alexandria. Energies are from PBEsol.

Structure (CIF):
```
data_CrHg2Pt
_chemical_formula_sum 'Cr1 Hg2 Pt1'
_cell_length_a 3.041
_cell_length_b 3.041
_cell_length_c 7.638
_cell_angle_alpha 90.00
_cell_angle_beta 90.00
_cell_angle_gamma 90.00
_symmetry_space_group_name_H-M 'P 4 m m'
_symmetry_Int_Tables_number 99
loop_
_symmetry_equiv_pos_as_xyz
'x,y,z'
'-y,x,z'
'-x,-y,z'
'y,-x,z'
'-x,y,z'
'y,x,z'
'x,-y,z'
'-y,-x,z'
loop_
_atom_site_label
_atom_site_type_symbol
_atom_site_fract_x
_atom_site_fract_y
_atom_site_fract_z
Cr1 Cr 0.000 0.000 0.000
Hg1 Hg 0.000 0.000 0.555
Hg2 Hg 0.500 0.500 0.250
Pt1 Pt 0.500 0.500 0.818
```

Version B
Here is crystalline CrHg2Pt at its relaxed geometry from Alexandria. Energies are from PBEsol.

Structure (CIF):
```
data_CrHg2Pt
_chemical_formula_sum 'Cr1 Hg2 Pt1'
_cell_length_a 4.139
_cell_length_b 4.139
_cell_length_c 4.066
_cell_angle_alpha 90.00
_cell_angle_beta 90.00
_cell_angle_gamma 90.00
_symmetry_space_group_name_H-M 'P 4/m m m'
_symmetry_Int_Tables_number 123
_symmetry_space_group_name_Hall '-P 4 2'
loop_
_atom_site_label
_atom_site_type_symbol
_atom_site_fract_x
_atom_site_fract_y
_atom_site_fract_z
Cr1 Cr 0.000 0.000 0.000
Hg1 Hg 0.000 0.500 0.500
Pt1 Pt 0.500 0.500 0.000
```

Most stable: version A. Least stable: version B.

Version A
Here is crystalline CrHg2Rh at its relaxed geometry from Alexandria. Energies are from PBEsol.

Structure (CIF):
```
data_CrHg2Rh
_chemical_formula_sum 'Cr1 Hg2 Rh1'
_cell_length_a 2.877
_cell_length_b 2.877
_cell_length_c 8.001
_cell_angle_alpha 90.00
_cell_angle_beta 90.00
_cell_angle_gamma 90.00
_symmetry_space_group_name_H-M 'P 4 m m'
_symmetry_Int_Tables_number 99
loop_
_symmetry_equiv_pos_as_xyz
'x,y,z'
'-y,x,z'
'-x,-y,z'
'y,-x,z'
'-x,y,z'
'y,x,z'
'x,-y,z'
'-y,-x,z'
loop_
_atom_site_label
_atom_site_type_symbol
_atom_site_fract_x
_atom_site_fract_y
_atom_site_fract_z
Cr1 Cr 0.000 0.000 0.000
Hg1 Hg 0.000 0.000 0.563
Hg2 Hg 0.500 0.500 0.248
Rh1 Rh 0.500 0.500 0.825
```

Version B
Here is crystalline CrHg2Rh at its relaxed geometry from Alexandria. Energies are from PBEsol.

Structure (CIF):
```
data_CrHg2Rh
_chemical_formula_sum 'Cr2 Hg4 Rh2'
_cell_length_a 4.015
_cell_length_b 4.015
_cell_length_c 8.267
_cell_angle_alpha 90.00
_cell_angle_beta 90.00
_cell_angle_gamma 90.00
_symmetry_space_group_name_H-M 'I -4 m 2'
_symmetry_Int_Tables_number 119
_symmetry_space_group_name_Hall 'I -4 -2'
loop_
_atom_site_label
_atom_site_type_symbol
_atom_site_fract_x
_atom_site_fract_y
_atom_site_fract_z
Cr1 Cr 0.000 0.000 0.000
Hg1 Hg 0.000 0.000 0.500
Hg2 Hg 0.000 0.500 0.250
Rh1 Rh 0.000 0.500 0.750
```

Most stable: version A. Least stable: version B.